Entry 1:
Density functional theory data (PBE-GGA) for an optimized crystal structure of Li2Sc2Tl2PdPt.

POSCAR file:
```
Li2Sc2Tl2PdPt
1.0
4.671 0.000 0.000
0.000 4.671 0.000
0.000 0.000 6.621
Li Sc Tl Pd Pt
2 2 2 1 1
direct
0.000 0.000 0.000
0.500 0.500 0.500
0.000 0.500 0.745
0.500 0.000 0.255
0.000 0.500 0.247
0.500 0.000 0.753
0.500 0.500 0.000
0.000 0.000 0.500
```

Properties
Crystal system: tetragonal


Entry 2:
Density functional theory data (PBE-GGA) for an optimized crystal structure of DyHo6Te2Pd2.

POSCAR file:
```
DyHo6Te2Pd2
1.0
-1.968 7.849 4.804
1.968 -7.849 4.804
1.968 7.849 -4.804
Dy Ho Te Pd
1 6 2 2
direct
0.000 0.000 0.000
0.288 0.417 0.871
0.306 0.624 0.682
0.546 0.417 0.129
0.619 0.264 0.355
0.909 0.264 0.645
0.942 0.624 0.318
0.265 0.765 0.500
0.663 0.663 0.000
0.167 0.929 0.238
0.691 0.929 0.762
```

Properties
Crystal system: orthorhombic


Entry 3:
Density functional theory data (PBE-GGA) for an optimized crystal structure of Lu2ZnGa.

POSCAR file:
```
Lu2ZnGa
1.0
0.000 3.531 3.531
3.531 0.000 3.531
3.531 3.531 0.000
Lu Zn Ga
2 1 1
direct
0.000 0.000 0.000
0.250 0.250 0.250
0.750 0.750 0.750
0.500 0.500 0.500
```

Properties
Crystal system: cubic


DFT total energy in eV per atom, matching the order above: -4.61; -5.28; -3.28
Total moment in μB/cell, matching the order above: 0.00; 0.00; 0.00